{
  "formula": "TiNb2Si6",
  "functional": "PBE-GGA",
  "state": "relaxed",
  "final_energy_ev_per_fu": -65.67,
  "raw_formation_energy_mev_per_atom": -567,
  "cell": [[-2.192, 4.244, 0.031], [0.731, -2.280, -4.147], [-5.847, -3.024, 0.633]],
  "species": ["Si", "Si", "Si", "Si", "Si", "Si", "Nb", "Nb", "Ti"],
  "frac_coords": [[0.835, 0.161, 0.331], [0.156, 0.312, 0.000], [0.844, 0.688, 0.000], [0.675, 0.839, 0.669], [0.325, 0.161, 0.669], [0.165, 0.839, 0.331], [0.000, 0.500, 0.667], [0.500, 0.500, 0.333], [0.500, 0.000, 0.000]]
}